First-principles (PBE) data for crystalline Mg4ScCd5 at its relaxed geometry, as listed in Alexandria.

Cell: 3.5504 3.5504 17.1177 Å, 90.00 90.00 90.00°
Last column: nearest neighbours and their distance in Å.
Space group P4/mmm (No. 123)
Symmetry-distinct sites (fractional):
Mg  0.0000  0.0000  0.0987 [2 per cell]  8 Cd 3.02-3.03, 1 Mg 3.38
Mg  0.0000  0.0000  0.2966 [2 per cell]  8 Cd 3.03, 1 Mg 3.39
Sc  0.0000  0.0000  0.5000 [1 per cell]  8 Cd 3.08
Cd  0.5000  0.5000  0.0000 [1 per cell]  8 Mg 3.03, 2 Cd 3.37
Cd  0.5000  0.5000  0.1971 [2 per cell]  8 Mg 3.02-3.03, 1 Cd 3.37
Cd  0.5000  0.5000  0.3953 [2 per cell]  4 Mg 3.03, 4 Sc 3.08

DOS(E_F), states/eV/f.u.: 4.11
Spin magnetization, μB/f.u.: 0.138
ΔH_f (0 K), eV per atom: -0.137

---

First-principles (PBE) data for crystalline MgSc4Cd at its relaxed geometry, as listed in Alexandria.

Cell: 3.2902 3.2902 13.0354 Å, 90.00 90.00 90.00°
Last column: nearest neighbours and their distance in Å.
Space group P4/mmm (No. 123)
Symmetry-distinct sites (fractional):
Mg  0.0000  0.0000  0.0000 [1 per cell]  8 Sc 3.21, 4 Mg 3.29
Sc  0.0000  0.0000  0.3402 [2 per cell]  4 Cd 3.12, 8 Sc 3.22-3.29
Sc  0.5000  0.5000  0.1696 [2 per cell]  4 Mg 3.21, 8 Sc 3.22-3.29
Cd  0.5000  0.5000  0.5000 [1 per cell]  8 Sc 3.12, 4 Cd 3.29

DOS(E_F), states/eV/f.u.: 6.53
Spin magnetization, μB/f.u.: 1.903
Relative energy among the computed polymorphs, meV per atom: 0
ΔH_f (0 K), eV per atom: -0.105

---

First-principles (PBE) data for crystalline MgSc2Cd5 at its relaxed geometry, as listed in Alexandria.

Cell: 6.4979 6.4979 4.8760 Å, 90.00 90.00 90.00°
Last column: nearest neighbours and their distance in Å.
Space group P4/mmm (No. 123)
Symmetry-distinct sites (fractional):
Mg  0.0000  0.0000  0.0000 [1 per cell]  6 Cd 2.44-2.65
Sc  0.0000  0.5000  0.5000 [2 per cell]  10 Cd 3.25-3.37
Cd  0.0000  0.0000  0.5000 [1 per cell]  2 Mg 2.44
Cd  0.2879  0.2879  0.0000 [4 per cell]  1 Mg 2.65, 2 Cd 2.76

DOS(E_F), states/eV/f.u.: 7.24
Spin magnetization, μB/f.u.: 0.001
Relative energy among the computed polymorphs, meV per atom: 430
ΔH_f (0 K), eV per atom: 0.229

---

First-principles (PBE) data for crystalline MgSc2Cd at its relaxed geometry, as listed in Alexandria.

Cell: 3.3217 3.3217 29.8388 Å, 90.00 90.00 120.00°
Last column: nearest neighbours and their distance in Å.
Space group R-3m (No. 166, hexagonal axes)
Symmetry-distinct sites (fractional):
Mg  0.0000  0.0000  0.0000 [3 per cell]  6 Sc 3.19, 6 Mg 3.32
Sc  0.0000  0.0000  0.2480 [6 per cell]  3 Cd 3.09, 3 Mg 3.19, 6 Sc 3.32
Cd  0.0000  0.0000  0.5000 [3 per cell]  6 Sc 3.09, 6 Cd 3.32

DOS(E_F), states/eV/f.u.: 3.97
Spin magnetization, μB/f.u.: 0.000
Relative energy among the computed polymorphs, meV per atom: 121
ΔH_f (0 K), eV per atom: -0.054

---

First-principles (PBE) data for crystalline MgSc4Cd at its relaxed geometry, as listed in Alexandria.

Cell: 8.3646 8.3646 8.3646 Å, 90.00 90.00 90.00°
Last column: nearest neighbours and their distance in Å.
Space group F-43m (No. 216)
Symmetry-distinct sites (fractional):
Mg  0.0000  0.0000  0.0000 [4 per cell]  12 Sc 3.47, 4 Cd 3.62
Sc  0.1250  0.1250  0.6250 [16 per cell]  6 Sc 2.96
Cd  0.2500  0.2500  0.2500 [4 per cell]  12 Sc 3.47, 4 Mg 3.62

DOS(E_F), states/eV/f.u.: 5.80
Spin magnetization, μB/f.u.: 0.000
Relative energy among the computed polymorphs, meV per atom: 304
ΔH_f (0 K), eV per atom: 0.199

---

First-principles (PBE) data for crystalline MgSc3Cd6 at its relaxed geometry, as listed in Alexandria.

Cell: 8.5268 4.9511 11.0640 Å, 90.00 111.00 90.00°
Last column: nearest neighbours and their distance in Å.
Space group P2_1/m (No. 11)
Symmetry-distinct sites (fractional):
Mg  0.0412  0.2500  0.4290 [2 per cell]  8 Cd 3.01-3.14, 2 Mg 3.14, 2 Sc 3.35
Sc  0.2319  0.2500  0.0156 [2 per cell]  11 Cd 3.06-3.25, 1 Sc 3.43
Sc  0.3563  0.7500  0.7807 [2 per cell]  8 Cd 3.01-3.21, 2 Sc 3.32, 1 Mg 3.35
Sc  0.4489  0.2500  0.6182 [2 per cell]  9 Cd 3.03-3.31, 2 Sc 3.32, 1 Mg 3.35
Cd  0.0550  0.7500  0.8647 [2 per cell]  4 Sc 3.03-3.17, 6 Cd 3.04-3.19, 1 Mg 3.05
Cd  0.1423  0.2500  0.7191 [2 per cell]  4 Sc 3.01-3.19, 3 Mg 3.01-3.07, 5 Cd 3.18-3.33
Cd  0.1635  0.7500  0.1670 [2 per cell]  8 Cd 3.04-3.28, 4 Sc 3.16-3.31
Cd  0.2589  0.7500  0.4778 [2 per cell]  3 Mg 3.02-3.08, 4 Sc 3.04-3.15, 4 Cd 3.23-3.33
Cd  0.3316  0.2500  0.3173 [2 per cell]  5 Sc 3.03-3.21, 5 Cd 3.04-3.23, 1 Mg 3.14
Cd  0.4678  0.7500  0.0762 [2 per cell]  7 Sc 3.03-3.20, 4 Cd 3.10-3.28

DOS(E_F), states/eV/f.u.: 6.62
Spin magnetization, μB/f.u.: 0.000
ΔH_f (0 K), eV per atom: -0.210

---

First-principles (PBE) data for crystalline MgSc2Cd at its relaxed geometry, as listed in Alexandria.

Cell: 7.1123 7.1123 7.1123 Å, 90.00 90.00 90.00°
Last column: nearest neighbours and their distance in Å.
Space group Fm-3m (No. 225)
Symmetry-distinct sites (fractional):
Mg  0.0000  0.0000  0.0000 [4 per cell]  8 Sc 3.08
Sc  0.2500  0.2500  0.2500 [8 per cell]  4 Mg 3.08, 4 Cd 3.08
Cd  0.0000  0.0000  0.5000 [4 per cell]  8 Sc 3.08

DOS(E_F), states/eV/f.u.: 4.04
Spin magnetization, μB/f.u.: 0.000
Relative energy among the computed polymorphs, meV per atom: 4
ΔH_f (0 K), eV per atom: -0.171

---

First-principles (PBE) data for crystalline Mg2Sc3Cd7 at its relaxed geometry, as listed in Alexandria.

Cell: 4.9593 3.3125 16.7481 Å, 90.00 94.27 90.00°
Last column: nearest neighbours and their distance in Å.
Space group P2/m (No. 10)
Symmetry-distinct sites (fractional):
Mg  0.1962  0.0000  0.2934 [2 per cell]  5 Cd 2.74-2.98
Sc  0.0000  0.0000  0.0000 [1 per cell]  8 Cd 2.98-2.99, 2 Sc 3.31
Sc  0.2834  0.5000  0.6227 [2 per cell]  8 Cd 3.22-3.31, 4 Mg 3.29-3.30, 2 Sc 3.31
Cd  0.1504  0.5000  0.1452 [2 per cell]  2 Mg 2.98, 2 Sc 2.99, 7 Cd 3.09-3.31
Cd  0.2394  0.0000  0.4577 [2 per cell]  1 Mg 2.74, 2 Cd 2.85
Cd  0.3280  0.0000  0.7947 [2 per cell]  2 Mg 2.87-2.89, 4 Cd 3.12-3.17
Cd  0.5000  0.5000  0.0000 [1 per cell]  4 Sc 2.98, 4 Cd 3.09-3.31

DOS(E_F), states/eV/f.u.: 7.95
Spin magnetization, μB/f.u.: 0.000
Relative energy among the computed polymorphs, meV per atom: 0
ΔH_f (0 K), eV per atom: -0.106

---

First-principles (PBE) data for crystalline MgSc3Cd at its relaxed geometry, as listed in Alexandria.

Cell: 11.0470 8.7221 5.0363 Å, 90.00 90.00 90.00°
Last column: nearest neighbours and their distance in Å.
Space group Ama2 (No. 40)
Symmetry-distinct sites (fractional):
Mg  0.2500  0.1668  0.0000 [4 per cell]  3 Sc 2.91
Sc  0.0978  0.3334  0.4992 [8 per cell]  3 Cd 3.10, 3 Mg 3.36, 4 Sc 3.36
Sc  0.2500  0.0002  0.4997 [4 per cell]  2 Cd 2.76, 3 Mg 2.91
Cd  0.0000  0.0000  0.4988 [4 per cell]  2 Sc 2.76

DOS(E_F), states/eV/f.u.: 6.26
Spin magnetization, μB/f.u.: 0.004
Relative energy among the computed polymorphs, meV per atom: 137
ΔH_f (0 K), eV per atom: 0.008

---

First-principles (PBE) data for crystalline Mg3Sc2Cd3 at its relaxed geometry, as listed in Alexandria.

Cell: 4.9517 4.9517 24.2985 Å, 90.00 90.00 120.00°
Last column: nearest neighbours and their distance in Å.
Space group R3m (No. 160, hexagonal axes)
Symmetry-distinct sites (fractional):
Mg  0.0000  0.0000  0.0000 [3 per cell]  7 Cd 3.03-3.10, 1 Mg 3.07
Mg  0.0000  0.0000  0.1264 [3 per cell]  4 Mg 3.04-3.07, 4 Sc 3.06-3.09
Mg  0.0000  0.0000  0.5024 [3 per cell]  5 Cd 2.99, 3 Mg 3.04
Sc  0.0000  0.0000  0.2536 [3 per cell]  7 Cd 3.01-3.09, 1 Mg 3.09
Sc  0.0000  0.0000  0.7481 [3 per cell]  5 Cd 2.98-3.02, 3 Mg 3.06
Cd  0.0000  0.0000  0.3795 [3 per cell]  4 Sc 2.98-3.06, 4 Mg 2.99-3.07
Cd  0.0000  0.0000  0.6253 [3 per cell]  4 Sc 2.98-3.01, 4 Mg 2.99-3.03
Cd  0.0000  0.0000  0.8724 [3 per cell]  4 Mg 2.99-3.10, 4 Sc 3.02-3.09

DOS(E_F), states/eV/f.u.: 2.99
Spin magnetization, μB/f.u.: 0.000
Relative energy among the computed polymorphs, meV per atom: 0
ΔH_f (0 K), eV per atom: -0.211

---

First-principles (PBE) data for crystalline MgSc6Cd2 at its relaxed geometry, as listed in Alexandria.

Cell: 14.5857 3.1911 10.8234 Å, 90.00 120.62 90.00°
Last column: nearest neighbours and their distance in Å.
Space group C2/m (No. 12)
Symmetry-distinct sites (fractional):
Mg  0.0000  0.0000  0.0000 [2 per cell]  4 Sc 3.02-3.14, 2 Mg 3.19, 4 Cd 3.22
Sc  0.0439  0.0000  0.7440 [4 per cell]  1 Mg 3.14, 2 Cd 3.17, 8 Sc 3.18-3.27
Sc  0.1199  0.5000  0.5477 [4 per cell]  3 Cd 3.08-3.23, 8 Sc 3.10-3.27
Sc  0.2374  0.0000  0.1172 [4 per cell]  1 Mg 3.02, 2 Cd 3.13, 7 Sc 3.13-3.19
Cd  0.1564  0.5000  0.2916 [4 per cell]  7 Sc 3.08-3.23, 2 Cd 3.19, 2 Mg 3.22

DOS(E_F), states/eV/f.u.: 12.07
Spin magnetization, μB/f.u.: 0.001
ΔH_f (0 K), eV per atom: -0.006

---

First-principles (PBE) data for crystalline MgSc3Cd at its relaxed geometry, as listed in Alexandria.

Cell: 5.2317 5.2317 5.2317 Å, 90.00 90.00 90.00°
Last column: nearest neighbours and their distance in Å.
Space group Pm-3m (No. 221)
Symmetry-distinct sites (fractional):
Mg  0.0000  0.0000  0.0000 [1 per cell]  6 Sc 2.62
Sc  0.0000  0.0000  0.5000 [3 per cell]  2 Mg 2.62
Cd  0.5000  0.5000  0.5000 [1 per cell]  12 Sc 3.70

DOS(E_F), states/eV/f.u.: 9.73
Spin magnetization, μB/f.u.: 0.967
Relative energy among the computed polymorphs, meV per atom: 842
ΔH_f (0 K), eV per atom: 0.713